# 1
Computed, not measured: a relaxed GaFePd6 crystal at the PBE level of DFT.

Unit cell a=3.914 b=3.914 c=7.785 alpha=90.00 beta=90.00 gamma=90.00
Last column: magnetic moment on the atom in μB.
Fractional coordinates of all 8 atoms:
Pd  0.000  0.500  0.747  0.22
Pd  0.500  0.000  0.253  0.22
Pd  0.500  0.500  0.500  0.30
Pd  0.000  0.500  0.253  0.22
Pd  0.500  0.000  0.747  0.22
Pd  0.500  0.500  0.000  0.13
Ga  0.000  0.000  0.000  -0.01
Fe  0.000  0.000  0.500  3.32

## Properties
symmetry = P4/mmm
energy above the lowest structure with this stoichiometry = 0 meV/atom

=====

# 2
Computed, not measured: a relaxed LaPm2Nd crystal at the PBE level of DFT.

Unit cell a=4.955 b=4.815 c=6.656 alpha=90.00 beta=111.85 gamma=90.00
Fractional coordinates of all 4 atoms:
Nd  0.509  0.000  0.018
Pm  0.227  0.000  0.454
Pm  0.020  0.500  0.041
La  0.744  0.500  0.488

## Properties
symmetry = Amm2
energy above the lowest structure with this stoichiometry = 274 meV/atom

=====

# 3
Computed, not measured: a relaxed Ta2AlPb crystal at the PBE level of DFT.

Unit cell a=3.009 b=3.009 c=9.576 alpha=90.00 beta=90.00 gamma=107.72
Fractional coordinates of all 4 atoms:
Pb  0.500  0.500  0.758
Ta  0.500  0.500  0.251
Ta  0.000  0.000  0.026
Al  0.000  0.000  0.465

## Properties
symmetry = Cmm2
electronic total energy = -7.519 eV/atom

=====

# 4
Computed, not measured: a relaxed Al4CrIr crystal at the PBE level of DFT.

Unit cell a=5.026 b=5.026 c=5.026 alpha=60.00 beta=60.00 gamma=60.00
Last column: magnetic moment on the atom in μB.
Fractional coordinates of all 6 atoms:
Al  0.375  0.874  0.375  -0.02
Al  0.375  0.375  0.375  -0.02
Al  0.874  0.375  0.375  -0.02
Al  0.375  0.375  0.874  -0.02
Cr  0.750  0.750  0.750  3.17
Ir  0.000  0.000  0.000  0.23

## Properties
symmetry = F-43m
electronic total energy = -5.491 eV/atom